(1)
Material: CdAs2PbW
Method: DFT, PBE-GGA
State: relaxed

abc: 4.880 5.443 4.880
angles: 90.00 90.00 90.00
Fractional coordinates of all 5 atoms:
1 As 0.500 0.000 0.000
2 W 0.000 0.000 0.000
3 Pb 0.500 0.500 0.500
4 As 0.000 0.000 0.500
5 Cd 0.000 0.500 0.000

Results
Formation energy   2.16 eV per formula unit
M_tot   0.00 μB per cell

***

(2)
Material: LaHo6Co2
Method: DFT, PBE-GGA
State: relaxed

abc: 8.517 8.517 8.517
angles: 108.32 107.19 112.96
Fractional coordinates of all 18 atoms:
1 Ho 0.224 0.233 0.457
2 Ho 0.315 0.997 0.682
3 La 0.000 0.500 0.500
4 Ho 0.481 0.292 0.188
5 Co 0.661 0.000 0.661
6 Ho 0.685 0.003 0.318
7 Ho 0.519 0.708 0.812
8 Ho 0.896 0.708 0.188
9 La 0.000 0.000 0.000
10 Ho 0.315 0.633 0.318
11 Ho 0.685 0.367 0.682
12 Co 0.500 0.388 0.888
13 Ho 0.224 0.767 0.992
14 Co 0.339 0.000 0.339
15 Ho 0.104 0.292 0.812
16 Co 0.500 0.612 0.112
17 Ho 0.776 0.767 0.543
18 Ho 0.776 0.233 0.008

Results
Formation energy   -0.41 eV per formula unit
M_tot   0.00 μB per cell

***

(3)
Material: CsBi2Rh
Method: DFT, PBE-GGA
State: relaxed

abc: 5.430 5.430 5.430
angles: 60.00 60.00 60.00
Fractional coordinates of all 4 atoms:
1 Bi 0.250 0.250 0.250
2 Bi 0.750 0.750 0.750
3 Rh 0.000 0.000 0.000
4 Cs 0.500 0.500 0.500

Results
Formation energy   1.82 eV per formula unit
Energy above the most stable polymorph in this dataset   65.68 kJ/mol of atoms
M_tot   0.00 μB per cell

***

(4)
Material: Cd2Pb2F
Method: DFT, PBE-GGA
State: relaxed

abc: 3.973 3.973 8.809
angles: 76.97 76.97 90.00
Fractional coordinates of all 5 atoms:
1 Cd 0.250 0.750 0.500
2 Pb 0.407 0.407 0.186
3 F 0.000 0.000 0.000
4 Pb 0.593 0.593 0.814
5 Cd 0.750 0.250 0.500

Results
Energy above the most stable polymorph in this dataset   16.56 kJ/mol of atoms
ΔE_f (raw)   -0.332 eV per atom
M_tot   0.00 μB per cell

***

Please write out number 2 again, unchanged.
Material: LaHo6Co2
Method: DFT, PBE-GGA
State: relaxed

abc: 8.517 8.517 8.517
angles: 108.32 107.19 112.96
Fractional coordinates of all 18 atoms:
1 Ho 0.224 0.233 0.457
2 Ho 0.315 0.997 0.682
3 La 0.000 0.500 0.500
4 Ho 0.481 0.292 0.188
5 Co 0.661 0.000 0.661
6 Ho 0.685 0.003 0.318
7 Ho 0.519 0.708 0.812
8 Ho 0.896 0.708 0.188
9 La 0.000 0.000 0.000
10 Ho 0.315 0.633 0.318
11 Ho 0.685 0.367 0.682
12 Co 0.500 0.388 0.888
13 Ho 0.224 0.767 0.992
14 Co 0.339 0.000 0.339
15 Ho 0.104 0.292 0.812
16 Co 0.500 0.612 0.112
17 Ho 0.776 0.767 0.543
18 Ho 0.776 0.233 0.008

Results
Formation energy   -0.41 eV per formula unit
M_tot   0.00 μB per cell

***

> What is the M_tot in the first record?

0.00 μB per cell

***

> What is the formula in the third record?

CsBi2Rh